# 1
Density functional theory data (PBE-GGA) for a relaxed SrFe2Cl crystal.

Unit cell a=5.970 b=5.970 c=3.338 alpha=90.00 beta=90.00 gamma=126.79
Each line ends with the local moment (μB).
Atoms (fractional coordinates):
Sr (0.500, 0.000, 0.500)  -0.07
Fe (0.000, 0.000, 0.000)  3.09
Fe (0.500, 0.500, 0.000)  3.09
Cl (0.000, 0.500, 0.500)  0.07

N(E_F) in states/eV/atom: 1.011
Calculated volume in A^3/atom: 23.8
Energy above the most stable polymorph in this dataset in kJ per mole of atoms: 56.3
Size of the total moment in μB/f.u.: 6.24
E_form (uncorrected) in meV/atom: 471



# 2
Density functional theory data (PBE-GGA) for a relaxed SrFeCl2 crystal.

Unit cell a=5.076 b=5.076 c=5.076 alpha=60.00 beta=60.00 gamma=60.00
Each line ends with the local moment (μB).
Atoms (fractional coordinates):
Sr (0.500, 0.500, 0.500)  0.01
Fe (0.000, 0.000, 0.000)  3.19
Cl (0.250, 0.250, 0.250)  0.10
Cl (0.750, 0.750, 0.750)  0.10

N(E_F) in states/eV/atom: 0.704
Calculated volume in A^3/atom: 23.1
Energy above the most stable polymorph in this dataset in kJ per mole of atoms: 14.0
Size of the total moment in μB/f.u.: 3.93
E_form (uncorrected) in meV/atom: -718



# 3
Density functional theory data (PBE-GGA) for a relaxed SrFeCl2 crystal.

Unit cell a=5.315 b=5.690 c=4.908 alpha=64.06 beta=90.76 gamma=118.21
Each line ends with the local moment (μB).
Atoms (fractional coordinates):
Sr (0.500, 0.500, 0.000)  -0.03
Fe (0.000, 0.500, 0.500)  3.09
Cl (0.000, 0.000, 0.000)  0.03
Cl (0.500, 0.000, 0.500)  0.03

N(E_F) in states/eV/atom: 0.903
Calculated volume in A^3/atom: 28.5
Energy above the most stable polymorph in this dataset in kJ per mole of atoms: 21.5
Size of the total moment in μB/f.u.: 3.30
E_form (uncorrected) in meV/atom: -641



# 4
Density functional theory data (PBE-GGA) for a relaxed SrFeCl2 crystal.

Unit cell a=5.216 b=5.216 c=5.216 alpha=60.00 beta=60.00 gamma=60.00
Each line ends with the local moment (μB).
Atoms (fractional coordinates):
Sr (0.750, 0.750, 0.750)  0.03
Fe (0.500, 0.500, 0.500)  3.19
Cl (0.000, 0.000, 0.000)  0.05
Cl (0.250, 0.250, 0.250)  0.16

N(E_F) in states/eV/atom: 2.358
Calculated volume in A^3/atom: 25.1
Energy above the most stable polymorph in this dataset in kJ per mole of atoms: 54.1
Size of the total moment in μB/f.u.: 4.00
E_form (uncorrected) in meV/atom: -303



# 5
Density functional theory data (PBE-GGA) for a relaxed SrFe2Cl crystal.

Unit cell a=3.378 b=3.378 c=8.526 alpha=90.00 beta=90.00 gamma=90.00
Each line ends with the local moment (μB).
Atoms (fractional coordinates):
Sr (0.000, 0.000, 0.489)  -0.05
Fe (0.000, 0.000, 0.121)  2.91
Fe (0.500, 0.500, 0.208)  2.63
Cl (0.500, 0.500, 0.682)  0.00

N(E_F) in states/eV/atom: 0.848
Calculated volume in A^3/atom: 24.3
Energy above the most stable polymorph in this dataset in kJ per mole of atoms: 0.6
Size of the total moment in μB/f.u.: 5.40
E_form (uncorrected) in meV/atom: -107



# 6
Density functional theory data (PBE-GGA) for a relaxed SrFeCl2 crystal.

Unit cell a=3.930 b=3.613 c=6.147 alpha=90.01 beta=90.00 gamma=90.00
Each line ends with the local moment (μB).
Atoms (fractional coordinates):
Sr (0.500, 0.750, 0.750)  -0.07
Fe (0.500, 0.250, 0.250)  2.57
Cl (0.000, 0.249, 0.006)  0.02
Cl (0.000, 0.251, 0.494)  0.02

N(E_F) in states/eV/atom: 0.820
Calculated volume in A^3/atom: 21.8
Energy above the most stable polymorph in this dataset in kJ per mole of atoms: 14.7
Size of the total moment in μB/f.u.: 2.24
E_form (uncorrected) in meV/atom: -712



Look up the calculated volume of the second one. 23.1 A^3/atom